20
Lattice="5.847 0.000 0.000 0.000 7.744 0.000 -5.561 0.000 19.754" Properties=species:S:1:pos:R:3 comment="PBE Cs3AuBr6, optimized geometry" relative_energy_ev_per_atom=0.000 pbc="T T T"
Cs 0.000 0.000 0.000
Cs -2.780 3.872 9.877
Cs -2.637 0.637 13.969
Cs 0.143 3.235 4.092
Cs 0.143 4.509 15.661
Cs 2.923 7.108 5.784
Au 0.143 0.000 9.877
Au 2.924 3.872 0.000
Br -2.789 4.391 13.588
Br -0.008 7.226 3.711
Br -0.861 1.436 8.074
Br -3.642 2.436 17.951
Br -2.638 5.796 18.187
Br 0.142 5.821 8.310
Br 0.144 1.923 11.444
Br 2.924 1.949 1.567
Br 3.928 5.308 1.802
Br 1.148 6.308 11.679
Br 0.294 0.519 16.042
Br 3.075 3.353 6.166